This record from Alexandria describes TaHgAs2 after structural relaxation. The functional is PBE-GGA.

a = 3.373 Å, b = 3.710 Å, c = 13.864 Å
α = 90.00°, β = 90.00°, γ = 90.00°
Space group Imm2 (No. 44)
One atom of each set of equivalent atoms:
Ta 0.000 0.000 0.000 [2 per cell]
Hg 0.000 0.500 0.263 [2 per cell]
As 0.000 0.000 0.436 [2 per cell]
As 0.000 0.500 0.642 [2 per cell]

Results
- E: -42.264 eV/cell
- Crystal system: orthorhombic
- Total magnetic moment: 0.00 μB per formula unit